1.
This record from Alexandria via LeMat-Bulk describes ScOs2Rh after structural relaxation. The functional is PBE-GGA.

Cell and atoms, written as POSCAR:
```
ScOs2Rh
1.0
9.0511 -0.0073 -0.0043
8.6077 2.7981 -0.0043
8.6077 1.3604 2.4452
Os Rh Sc
2 1 1
Cartesian
26.1646 4.1351 2.4272 Os
6.6075 1.0443 0.6129 Os
13.1357 2.0760 1.2185 Rh
19.7587 3.1227 1.8329 Sc
```

Output
The electronic total energy comes out at -8.96 eV per atom. As for the density: 14.11 Mg/m³. Its magnetization is 0.0000 μB per atom.

***

2.
This record from Alexandria via LeMat-Bulk describes ScOs2Rh after structural relaxation. The functional is PBE-GGA.

Cell and atoms, written as POSCAR:
```
ScOs2Rh
1.0
4.9114 -0.0005 -0.0031
4.1055 2.6957 -0.0031
0.8145 0.2435 4.6479
Os Rh Sc
2 1 1
Cartesian
4.8279 1.4431 2.3887 Os
0.9023 0.2697 4.5799 Os
7.3735 2.2040 3.4812 Rh
2.4578 0.7347 1.1604 Sc
```

Output
The electronic total energy comes out at -9.15 eV per atom. As for the density: 14.25 Mg/m³. Its magnetization is 0.0000 μB per atom.

***

3.
This record from Alexandria via LeMat-Bulk describes Sc4Os3Rh after structural relaxation. The functional is PBE-GGA.

Cell and atoms, written as POSCAR:
```
Sc4Os3Rh
1.0
-3.5653 -1.3075 2.5206
-1.7048 -2.2498 -3.5786
5.8395 -3.4990 2.3238
Sc Os Rh
4 3 1
Cartesian
-0.2367 -5.7281 0.8146 Sc
0.8061 -1.3282 0.4512 Sc
2.3983 -3.9494 1.3436 Sc
-1.8290 -3.1069 -0.0778 Sc
-0.1670 -3.3148 2.1651 Os
-0.8524 -1.1249 -1.7893 Os
0.7363 -3.7415 -0.8993 Os
-1.7827 -0.6538 1.2603 Rh
```

Output
The electronic total energy comes out at -8.80 eV per atom. As for the density: 10.61 Mg/m³. Its magnetization is 0.0000 μB per atom.

***

4.
This record from Alexandria via LeMat-Bulk describes ScOsRh after structural relaxation. The functional is PBE-GGA.

Cell and atoms, written as POSCAR:
```
ScOsRh
1.0
-1.0917 -3.7645 -2.1211
2.0802 -0.1836 3.9371
-2.4505 -0.0184 1.2939
Rh Sc Os
1 1 1
Cartesian
-0.9583 -2.5778 0.3862 Rh
-0.5816 -1.3892 2.7649 Sc
-2.3727 -0.0178 1.2528 Os
```

Output
The electronic total energy comes out at -8.33 eV per atom. As for the density: 11.78 Mg/m³. Its magnetization is 0.2536 μB per atom.

***

5.
This record from Alexandria via LeMat-Bulk describes Sc2OsRh after structural relaxation. The functional is PBE-GGA.

Cell and atoms, written as POSCAR:
```
Sc2OsRh
1.0
-1.2223 2.0080 -2.2056
-2.9757 -0.6679 1.0440
0.3866 4.8624 4.2126
Os Rh Sc
1 1 2
Cartesian
-2.0024 1.8857 0.4724 Os
-1.8091 4.3169 2.5787 Rh
0.1908 2.4003 2.0795 Sc
0.0025 0.0309 0.0268 Sc
```

Output
The electronic total energy comes out at -8.53 eV per atom. As for the density: 9.50 Mg/m³. Its magnetization is 0.0000 μB per atom.

***

6.
This record from Alexandria via LeMat-Bulk describes ScOsRh2 after structural relaxation. The functional is PBE-GGA.

Cell and atoms, written as POSCAR:
```
ScOsRh2
1.0
5.5931 0.0036 -0.0015
3.0519 4.6871 0.0015
-3.7748 -3.3549 2.4040
Rh Sc Os
2 1 1
Cartesian
3.2372 -0.4125 1.2012 Rh
0.0624 0.0339 0.0000 Rh
4.2897 2.3275 0.0000 Sc
1.6034 1.7322 1.2027 Os
```

Output
The electronic total energy comes out at -8.23 eV per atom. As for the density: 11.62 Mg/m³. Its magnetization is 0.0000 μB per atom.